## a
Material: LaTaTl3
Method: DFT, PBE-GGA
State: relaxed

As for the density of states at the Fermi level: 2.167 states/eV/atom. The calculated density comes out at 7.59 g cm⁻³. The crystal system is cubic.

The structure belongs to space group Pm-3m (No. 221); the cell edges are 5.8887, 5.8887 and 5.8887 Å and the angles 90.00°, 90.00° and 90.00°. The inequivalent atoms are La at (0.0000, 0.0000, 0.0000), Ta at (0.5000, 0.5000, 0.5000) and Tl at (0.0000, 0.0000, 0.5000).

***

## b
Material: LaTaTl3
Method: DFT, PBE-GGA
State: relaxed

As for the density of states at the Fermi level: 0.705 states/eV/atom. The calculated density comes out at 9.86 g cm⁻³. The crystal system is cubic.

The structure belongs to space group Pm-3m (No. 221); the cell edges are 5.3954, 5.3954 and 5.3954 Å and the angles 90.00°, 90.00° and 90.00°. The inequivalent atoms are La at (0.0000, 0.0000, 0.0000), Ta at (0.5000, 0.5000, 0.5000) and Tl at (0.0000, 0.5000, 0.5000).

***

Of them, the most stable is b and the least stable is a.